SnOsO4: relaxed, PBE-GGA.

POSCAR file:
```
SnOsO4
1.0
0.444 4.375 1.406
-3.419 -0.643 3.035
2.176 -0.945 2.252
O Sn Os
4 1 1
Cartesian
-0.718 2.866 1.896 O
-1.339 2.573 4.750 O
0.541 0.214 1.943 O
-2.257 0.867 2.545 O
-0.399 1.394 3.346 Sn
0.000 0.000 0.000 Os
```

Computed properties:
Crystal system: orthorhombic
Final energy: -41.94 eV for the cell shown